Computed, not measured: a relaxed PrSc2ZnHg4 crystal at the PBE level of DFT.

Cell lengths 4.852, 4.852, 9.622 Å; angles 75.40, 75.40, 60.00 degrees
Sites, in units of the cell vectors:
Sc1 0.235 0.235 0.295
Sc2 0.765 0.765 0.705
Hg1 0.874 0.874 0.377
Hg2 0.391 0.391 0.827
Hg3 0.126 0.126 0.623
Hg4 0.609 0.609 0.173
Zn1 0.500 0.500 0.500
Pr1 0.000 0.000 0.000

Calculated values
- formation energy (meV per atom) = -312
- M_tot (μB/f.u.) = 0.00
- space-group type = No. 166